No. 1
The following is a GGA-PBE calculation of crystalline ZnGaTc4 at its relaxed geometry, from the Alexandria database.

## Properties
M_tot = 0.0 μB/f.u.
uncorrected energy = -46.6 eV per formula unit
SG = Cmmm

abc: 4.2848 4.2851 5.1721
angles: 90.00 114.47 90.00
With the nearest neighbours (Å) after each atom.
Element x y z (fractional)
1 Tc 0.3271 0.0000 0.6542  4 Tc 2.59-2.60, 2 Zn 2.69, 2 Ga 2.69
2 Tc 0.8286 0.5000 0.6572  4 Tc 2.60, 2 Ga 2.68, 2 Zn 2.68
3 Tc 0.6729 0.0000 0.3458  4 Tc 2.59-2.60, 2 Zn 2.69, 2 Ga 2.69
4 Tc 0.1714 0.5000 0.3428  4 Tc 2.60, 2 Ga 2.68, 2 Zn 2.68
5 Zn 0.0000 0.0000 0.0000  8 Tc 2.68-2.69
6 Ga 0.5000 0.5000 0.0000  8 Tc 2.68-2.69

No. 2
The following is a GGA-PBE calculation of crystalline Pm3Sm3Ge4 at its relaxed geometry, from the Alexandria database.

## Properties
M_tot = 0.0 μB/f.u.
uncorrected energy = -54.3 eV per formula unit
SG = Amm2

abc: 4.2952 7.8281 7.8281
angles: 90.05 90.00 90.00
With the nearest neighbours (Å) after each atom.
Element x y z (fractional)
1 Ge 0.0000 0.6224 0.3776  1 Ge 2.69
2 Ge 0.0000 0.8770 0.8786  1 Ge 2.70
3 Ge 0.0000 0.3792 0.6208  1 Ge 2.69
4 Ge 0.0000 0.1214 0.1230  1 Ge 2.70
5 Sm 0.5000 0.3274 0.3267  6 Ge 3.12-3.18
6 Sm 0.5000 0.8266 0.1734  6 Ge 3.12-3.18
7 Sm 0.5000 0.6733 0.6726  6 Ge 3.12-3.18
8 Pm 0.0000 0.4995 0.9997  4 Ge 3.10-3.11
9 Pm 0.0000 0.0003 0.5005  4 Ge 3.10-3.11
10 Pm 0.5000 0.1729 0.8271  6 Ge 3.14-3.18